## a
## LaPrAlHg (GGA-PBE)

Data for a geometry-optimized LaPrAlHg structure.

a b c (Å): 5.451 5.451 5.451
angles (deg): 60.00 60.00 60.00
Positions (direct):
La  0.000  0.000  0.000
Pr  0.500  0.500  0.500
Al  0.250  0.250  0.250
Hg  0.750  0.750  0.750

Summary:
The density of states at the Fermi level comes out at 1.460 states/eV per atom. As for the space group: F-43m, No. 216.

=====

## b
## LaPrAlHg (GGA-PBE)

Data for a geometry-optimized LaPrAlHg structure.

a b c (Å): 3.718 3.718 8.123
angles (deg): 90.00 90.00 90.00
Positions (direct):
La  0.000  0.000  0.000
Pr  0.000  0.000  0.476
Al  0.500  0.500  0.241
Hg  0.500  0.500  0.729

Summary:
The density of states at the Fermi level comes out at 0.672 states/eV per atom. As for the space group: P4mm, No. 99.

=====

Relative energies in meV/atom: a 36; b 0

=====

## a
## LaAl2SnHg (GGA-PBE)

Data for a geometry-optimized LaAl2SnHg structure.

a b c (Å): 5.205 5.205 6.131
angles (deg): 90.00 90.00 90.00
Positions (direct):
La  0.000  0.000  0.000
Al  0.000  0.500  0.500
Al  0.500  0.000  0.500
Sn  0.000  0.000  0.500
Hg  0.500  0.500  0.000

Summary:
The density of states at the Fermi level comes out at 0.982 states/eV per atom. As for the space group: P4/mmm, No. 123.

=====

## b
## LaAl2SnHg (GGA-PBE)

Data for a geometry-optimized LaAl2SnHg structure.

a b c (Å): 5.255 5.255 5.485
angles (deg): 90.00 90.00 90.00
Positions (direct):
La  0.000  0.000  0.000
Al  0.000  0.500  0.500
Al  0.500  0.000  0.500
Sn  0.500  0.500  0.500
Hg  0.500  0.500  0.000

Summary:
The density of states at the Fermi level comes out at 0.680 states/eV per atom. As for the space group: P4/mmm, No. 123.

=====

Relative energies in meV/atom: a 65; b 0

=====

## a
## LaTbAlHg (GGA-PBE)

Data for a geometry-optimized LaTbAlHg structure.

a b c (Å): 5.366 5.366 5.366
angles (deg): 60.00 60.00 60.00
Positions (direct):
La  0.000  0.000  0.000
Tb  0.500  0.500  0.500
Al  0.250  0.250  0.250
Hg  0.750  0.750  0.750

Summary:
The density of states at the Fermi level comes out at 1.388 states/eV per atom. As for the space group: F-43m, No. 216.

=====

## b
## LaTbAlHg (GGA-PBE)

Data for a geometry-optimized LaTbAlHg structure.

a b c (Å): 3.665 3.665 7.930
angles (deg): 90.00 90.00 90.00
Positions (direct):
La  0.000  0.000  0.000
Tb  0.000  0.000  0.475
Al  0.500  0.500  0.250
Hg  0.500  0.500  0.708

Summary:
The density of states at the Fermi level comes out at 0.600 states/eV per atom. As for the space group: P4mm, No. 99.

=====

Relative energies in meV/atom: a 50; b 0

=====

## a
## LiAl2Hg2 (GGA-PBE)

Data for a geometry-optimized LiAl2Hg2 structure.

a b c (Å): 7.811 7.811 3.423
angles (deg): 90.00 90.00 90.00
Positions (direct):
Li  0.000  0.000  0.000
Li  0.500  0.500  0.000
Al  0.125  0.375  0.500
Al  0.375  0.875  0.500
Al  0.625  0.125  0.500
Al  0.875  0.625  0.500
Hg  0.176  0.676  0.000
Hg  0.324  0.176  0.000
Hg  0.676  0.824  0.000
Hg  0.824  0.324  0.000

Summary:
The density of states at the Fermi level comes out at 0.263 states/eV per atom. As for the space group: P4/mbm, No. 127.

=====

## b
## LiAl2Hg2 (GGA-PBE)

Data for a geometry-optimized LiAl2Hg2 structure.

a b c (Å): 7.252 7.252 7.252
angles (deg): 148.09 148.09 45.76
Positions (direct):
Li  0.000  0.000  0.000
Al  0.250  0.750  0.500
Al  0.750  0.250  0.500
Hg  0.397  0.397  0.000
Hg  0.603  0.603  0.000

Summary:
The density of states at the Fermi level comes out at 0.346 states/eV per atom. As for the space group: I4/mmm, No. 139.

=====

Relative energies in meV/atom: a 44; b 0

=====

## a
## Li2AlHg2 (GGA-PBE)

Data for a geometry-optimized Li2AlHg2 structure.

a b c (Å): 7.596 7.596 3.211
angles (deg): 90.00 90.00 90.00
Positions (direct):
Li  0.135  0.365  0.000
Li  0.365  0.865  0.000
Li  0.635  0.135  0.000
Li  0.865  0.635  0.000
Al  0.000  0.000  0.000
Al  0.500  0.500  0.000
Hg  0.161  0.661  0.500
Hg  0.339  0.161  0.500
Hg  0.661  0.839  0.500
Hg  0.839  0.339  0.500

Summary:
The density of states at the Fermi level comes out at 0.324 states/eV per atom. As for the space group: P4/mbm, No. 127.

=====

## b
## Li2AlHg2 (GGA-PBE)

Data for a geometry-optimized Li2AlHg2 structure.

a b c (Å): 7.611 7.611 7.611
angles (deg): 151.92 151.92 40.14
Positions (direct):
Li  0.250  0.750  0.500
Li  0.750  0.250  0.500
Al  0.000  0.000  0.000
Hg  0.391  0.391  0.000
Hg  0.609  0.609  0.000

Summary:
The density of states at the Fermi level comes out at 0.252 states/eV per atom. As for the space group: I4/mmm, No. 139.

=====

## c
## Li2AlHg2 (GGA-PBE)

Data for a geometry-optimized Li2AlHg2 structure.

a b c (Å): 7.562 7.562 3.279
angles (deg): 90.00 90.00 90.00
Positions (direct):
Li  0.154  0.346  0.000
Li  0.346  0.846  0.000
Li  0.654  0.154  0.000
Li  0.846  0.654  0.000
Al  0.000  0.000  0.500
Al  0.500  0.500  0.500
Hg  0.146  0.646  0.500
Hg  0.354  0.146  0.500
Hg  0.646  0.854  0.500
Hg  0.854  0.354  0.500

Summary:
The density of states at the Fermi level comes out at 0.333 states/eV per atom. As for the space group: P4/mbm, No. 127.

=====

Relative energies in meV/atom: a 61; b 138; c 0

=====

## a
## LuAl2Hg (GGA-PBE)

Data for a geometry-optimized LuAl2Hg structure.

a b c (Å): 4.336 4.336 4.267
angles (deg): 90.00 90.00 90.00
Positions (direct):
Lu  0.000  0.000  0.000
Al  0.000  0.500  0.500
Al  0.500  0.000  0.500
Hg  0.500  0.500  0.000

Summary:
The density of states at the Fermi level comes out at 0.314 states/eV per atom. As for the space group: P4/mmm, No. 123.

=====

## b
## LuAl2Hg (GGA-PBE)

Data for a geometry-optimized LuAl2Hg structure.

a b c (Å): 5.666 5.666 5.666
angles (deg): 46.09 46.09 46.09
Positions (direct):
Lu  0.000  0.000  0.000
Al  0.223  0.223  0.223
Al  0.777  0.777  0.777
Hg  0.500  0.500  0.500

Summary:
The density of states at the Fermi level comes out at 0.456 states/eV per atom. As for the space group: R-3m, No. 166.

=====

Relative energies in meV/atom: a 0; b 207